a:
The following is a PBE calculation of crystalline CsAs2Se3 at its relaxed geometry, from Alexandria via LeMat-Bulk.

Cell lengths 11.1901, 11.3058, 6.5432 Å; angles 90.00, 90.00, 90.00 degrees
With the nearest neighbours (Å) after each atom.
Space group Cmcm (No. 63)
One atom of each set of equivalent atoms:
1 Cs 0.0000 0.1817 0.2500  10 Se 3.97-4.25, 8 As 4.44
2 As 0.1799 0.5000 0.0000  4 Se 2.54-2.74
3 Se 0.0000 0.4216 0.7500  4 As 2.74
4 Se 0.2026 0.1269 0.7500  2 As 2.54

**D(E_F)**: 0.1527 states/eV per atom
**V**: 827.8 Å³ per cell

b:
The following is a PBE calculation of crystalline CsAs2Se3 at its relaxed geometry, from Alexandria via LeMat-Bulk.

Cell lengths 15.0732, 7.6287, 13.8971 Å; angles 90.00, 90.00, 90.00 degrees
With the nearest neighbours (Å) after each atom.
Space group Pnma (No. 62)
One atom of each set of equivalent atoms:
1 Cs 0.0699 0.2500 0.0946  9 Se 3.67-3.92, 2 As 4.09
2 Cs 0.0922 0.7500 0.5706  7 Se 3.84-3.87, 2 As 4.20
3 As 0.0104 0.7500 0.2664  3 Se 2.40-2.47
4 As 0.2217 0.7500 0.9371  3 Se 2.40-2.47
5 As 0.2420 0.5830 0.2306  2 Se 2.51, 1 As 2.55
6 Se 0.1009 0.2500 0.6104  1 As 2.40
7 Se 0.1062 0.5123 0.3271  2 As 2.47-2.51
8 Se 0.1205 0.7500 0.0700  1 As 2.40
9 Se 0.1514 0.0095 0.8635  2 As 2.47-2.51

**V**: 1598.0 Å³ per cell

The computed energies, referenced to the most stable structure and given in kJ/mol of atoms, are a 16.0; b 0.0.

a:
The following is a PBE calculation of crystalline Cs3AsSe at its relaxed geometry, from Alexandria via LeMat-Bulk.

Cell lengths 6.8979, 6.8979, 6.8979 Å; angles 90.00, 90.00, 90.00 degrees
With the nearest neighbours (Å) after each atom.
Space group Pm-3m (No. 221)
One atom of each set of equivalent atoms:
1 Cs 0.0000 0.0000 0.5000  2 Se 3.45
2 As 0.5000 0.5000 0.5000  12 Cs 4.88
3 Se 0.0000 0.0000 0.0000  6 Cs 3.45

**D(E_F)**: 2.5182 states/eV per atom
**V**: 328.2 Å³ per cell

b:
The following is a PBE calculation of crystalline Cs3AsSe at its relaxed geometry, from Alexandria via LeMat-Bulk.

Cell lengths 18.8416, 4.6339, 10.7174 Å; angles 90.00, 95.24, 90.00 degrees
With the nearest neighbours (Å) after each atom.
Space group Cm (No. 8)
One atom of each set of equivalent atoms:
1 Cs 0.0000 0.0000 0.0000  3 Se 3.57-3.77, 1 As 3.88
2 Cs 0.0210 0.5000 0.3308  3 Se 3.57-3.76, 1 As 3.87
3 Cs 0.1628 0.0000 0.5681  1 Se 3.39, 3 As 3.57-3.62
4 Cs 0.2044 0.5000 0.0191  4 Se 3.59-3.86, 1 Cs 3.62
5 Cs 0.3167 0.5000 0.3122  4 Se 3.59-3.86, 1 Cs 3.62
6 Cs 0.3578 0.0000 0.7629  1 Se 3.39, 3 As 3.57-3.63
7 As 0.0396 0.5000 0.6938  2 As 2.62
8 As 0.4809 0.5000 0.6368  2 As 2.62
9 Se 0.1535 0.0000 0.2508  6 Cs 3.39-3.77
10 Se 0.3675 0.0000 0.0802  6 Cs 3.39-3.76

**D(E_F)**: 0.1548 states/eV per atom
**V**: 931.8 Å³ per cell

The computed energies, referenced to the most stable structure and given in kJ/mol of atoms, are a 34.8; b 0.0.